First-principles (GGA-PBE) data for a relaxed structure of SmScTcPd, as listed in Alexandria via LeMat-Bulk.

The structure in POSCAR format:
```
SmScTcPd
1.0
4.800 0.000 0.000
2.400 4.157 0.000
2.400 1.386 3.919
Sc Pd Sm Tc
1 1 1 1
Direct
0.000 0.000 0.000
0.750 0.750 0.750
0.500 0.500 0.500
0.250 0.250 0.250
```

Summary:
Space-group type ... F-43m, No. 216



First-principles (GGA-PBE) data for a relaxed structure of SmScTlPd, as listed in Alexandria via LeMat-Bulk.

The structure in POSCAR format:
```
SmScTlPd
1.0
5.101 0.000 0.000
2.550 4.418 0.000
2.550 1.473 4.165
Tl Sm Pd Sc
1 1 1 1
Direct
0.250 0.250 0.250
0.500 0.500 0.500
0.750 0.750 0.750
0.000 0.000 0.000
```

Summary:
Space-group type ... F-43m, No. 216



First-principles (GGA-PBE) data for a relaxed structure of Sm2TmSc2Pd5, as listed in Alexandria via LeMat-Bulk.

The structure in POSCAR format:
```
Sm2TmSc2Pd5
1.0
-2.438 2.657 -0.012
-5.587 -5.160 -7.678
-5.676 -5.171 7.605
Sm Pd Sc Tm
4 10 4 2
Direct
0.000 0.674 0.174
0.000 0.326 0.826
0.000 0.826 0.674
0.000 0.174 0.326
0.500 0.204 0.041
0.500 0.959 0.204
0.500 0.541 0.704
0.500 0.459 0.296
0.500 0.041 0.796
0.500 0.500 0.000
0.500 0.704 0.459
0.500 0.296 0.541
0.500 0.796 0.959
0.500 0.000 0.500
0.000 0.628 0.872
0.000 0.128 0.628
0.000 0.872 0.372
0.000 0.372 0.128
0.000 0.500 0.500
0.000 0.000 0.000
```

Summary:
Space-group type ... P4/mbm, No. 127



Formation energy / eV per atom: -0.342 -0.485 -0.727